## ZrIn2Fe (GGA-PBE)

Data for an optimized crystal structure of ZrIn2Fe.

a = 9.7299 Å, b = 9.7299 Å, c = 9.7299 Å
α = 18.54°, β = 18.54°, γ = 18.54°
Fractional coordinates of all 4 atoms:
Fe 0.7500 0.7500 0.7500
In 0.0075 0.0075 0.0075
In 0.4925 0.4925 0.4925
Zr 0.2500 0.2500 0.2500

Summary:
**Formation energy from the elements**: 0.1497 eV per atom
**SG**: R-3m, No. 166
**Size of the total moment**: 2.89 μB per formula unit

## NaIr (GGA-PBE)

Data for an optimized crystal structure of NaIr.

a = 3.7270 Å, b = 3.7242 Å, c = 4.9067 Å
α = 90.00°, β = 90.00°, γ = 90.00°
Fractional coordinates of all 4 atoms:
Na 0.0000 0.0000 0.5000
Na 0.5000 0.5000 0.5000
Ir 0.5000 0.0000 0.0000
Ir 0.0000 0.5000 0.0000

Summary:
**Formation energy from the elements**: 0.4429 eV per atom
**SG**: P4/mmm, No. 123
**Size of the total moment**: 0.00 μB per formula unit

## Mg2Cu2P (GGA-PBE)

Data for an optimized crystal structure of Mg2Cu2P.

a = 6.2345 Å, b = 6.2345 Å, c = 4.0349 Å
α = 90.00°, β = 90.00°, γ = 90.00°
Fractional coordinates of all 10 atoms:
Cu 0.8611 0.6389 0.0000
Cu 0.6389 0.1389 0.0000
Cu 0.1389 0.3611 0.0000
Cu 0.3611 0.8611 0.0000
P 0.5000 0.5000 0.0000
P 0.0000 0.0000 0.0000
Mg 0.3329 0.1671 0.5000
Mg 0.8329 0.3329 0.5000
Mg 0.1671 0.6671 0.5000
Mg 0.6671 0.8329 0.5000

Summary:
**Formation energy from the elements**: -0.1465 eV per atom
**SG**: P4/mbm, No. 127
**Size of the total moment**: 0.00 μB per formula unit